1.
Density functional theory data (GGA-PBE) for SmY5Tm6 after structural relaxation.

- Calculated volume: 31.2 A^3/atom
- Space group: C2/m
- Crystal system: monoclinic
- DFT formation energy: 0.028 eV per atom
- VASP energy: -5.294 eV per atom

a b c (Å): 6.1197 6.1197 11.7154
angles (deg): 94.99 94.99 119.95
Last column: nearest neighbours and their distance in Å.
Atoms (fractional coordinates):
Sm (0.0000, 0.0000, 0.0000)  6 Y 3.53-3.54, 6 Tm 3.54
Y (0.1669, 0.8331, 0.5000)  6 Tm 3.53, 6 Y 3.53-3.54
Y (0.3333, 0.6667, 0.0000)  3 Sm 3.53-3.54, 3 Y 3.53, 6 Tm 3.54
Y (0.5000, 0.5000, 0.5000)  6 Tm 3.53, 6 Y 3.53-3.54
Y (0.6667, 0.3333, 0.0000)  3 Sm 3.53-3.54, 3 Y 3.53, 6 Tm 3.54
Y (0.8331, 0.1669, 0.5000)  6 Tm 3.53, 6 Y 3.53-3.54
Tm (0.0832, 0.4161, 0.2504)  5 Y 3.53-3.54, 6 Tm 3.53-3.54, 1 Sm 3.54
Tm (0.2498, 0.2498, 0.7497)  5 Y 3.53-3.54, 6 Tm 3.53-3.54, 1 Sm 3.54
Tm (0.4161, 0.0832, 0.2504)  5 Y 3.53-3.54, 6 Tm 3.53-3.54, 1 Sm 3.54
Tm (0.5839, 0.9168, 0.7496)  5 Y 3.53-3.54, 6 Tm 3.53-3.54, 1 Sm 3.54
Tm (0.7502, 0.7502, 0.2503)  5 Y 3.53-3.54, 6 Tm 3.53-3.54, 1 Sm 3.54
Tm (0.9168, 0.5839, 0.7496)  5 Y 3.53-3.54, 6 Tm 3.53-3.54, 1 Sm 3.54



2.
Density functional theory data (GGA-PBE) for Sm6Y4Tm after structural relaxation.

- Calculated volume: 33.1 A^3/atom
- Space group: Cmcm
- Crystal system: orthorhombic
- DFT formation energy: 0.122 eV per atom
- VASP energy: -5.209 eV per atom

a b c (Å): 5.6575 5.6575 25.7838
angles (deg): 90.00 90.00 118.16
Last column: nearest neighbours and their distance in Å.
Atoms (fractional coordinates):
Sm (0.0000, 0.0000, 0.0000)  8 Y 3.20-3.57
Sm (0.0000, 0.0000, 0.5000)  8 Y 3.20-3.57
Sm (0.0425, 0.9575, 0.7500)  2 Y 3.26, 3 Tm 3.27-3.31, 2 Sm 3.62
Sm (0.3030, 0.6970, 0.1037)  6 Y 3.33-3.72
Sm (0.3030, 0.6970, 0.3963)  6 Y 3.33-3.72
Sm (0.3710, 0.6290, 0.6832)  5 Sm 3.45-3.77, 4 Y 3.58-3.67, 3 Tm 3.68-3.74
Sm (0.3710, 0.6290, 0.8168)  5 Sm 3.45-3.77, 4 Y 3.58-3.67, 3 Tm 3.68-3.74
Sm (0.6290, 0.3710, 0.1832)  5 Sm 3.45-3.77, 4 Y 3.58-3.67, 3 Tm 3.68-3.74
Sm (0.6290, 0.3710, 0.3168)  5 Sm 3.45-3.77, 4 Y 3.58-3.67, 3 Tm 3.68-3.74
Sm (0.6970, 0.3030, 0.6037)  6 Y 3.33-3.72
Sm (0.6970, 0.3030, 0.8963)  6 Y 3.33-3.72
Sm (0.9575, 0.0425, 0.2500)  2 Y 3.26, 3 Tm 3.27-3.31, 2 Sm 3.62
Y (0.0377, 0.9623, 0.6235)  6 Sm 3.20-3.58
Y (0.0377, 0.9623, 0.8765)  6 Sm 3.20-3.58
Y (0.3482, 0.6518, 0.5441)  8 Sm 3.45-3.84, 2 Y 3.64-3.72
Y (0.3482, 0.6518, 0.9559)  8 Sm 3.45-3.84, 2 Y 3.64-3.72
Y (0.6518, 0.3482, 0.0441)  8 Sm 3.45-3.84, 2 Y 3.64-3.72
Y (0.6518, 0.3482, 0.4559)  8 Sm 3.45-3.84, 2 Y 3.64-3.72
Y (0.9623, 0.0377, 0.1235)  6 Sm 3.20-3.58
Y (0.9623, 0.0377, 0.3765)  6 Sm 3.20-3.58
Tm (0.2943, 0.7057, 0.2500)  3 Sm 3.27-3.31
Tm (0.7057, 0.2943, 0.7500)  3 Sm 3.27-3.31



Question: What is the DFT formation energy in the second record?
Answer: 0.122 eV per atom